Sr3WO | PBE+U | relaxed

Calculated values
The energy above the lowest structure with this stoichiometry comes out at 1520 meV/atom. As for the symmetry: Pm-3m (221). As for the electronic total energy: -2.49 eV/atom. Its total magnetization is 6.674 μB/f.u.

a = 6.347 Å, b = 6.347 Å, c = 6.347 Å
α = 90.00°, β = 90.00°, γ = 90.00°
Fractional coordinates of all 5 atoms:
Sr: 0.000 0.000 0.500
Sr: 0.000 0.500 0.000
Sr: 0.500 0.000 0.000
W: 0.000 0.000 0.000
O: 0.500 0.500 0.500